1.
First-principles (GGA-PBE) data for Cs2Tb2NpTe6 after structural relaxation, as listed in Alexandria.

* size of the total moment: 3.0 μB/f.u.
* DOS(E_F): 3.5 states/eV/f.u.
* ρ: 5.54 Mg/m³
* DFT total energy: -5.074 eV/atom

Structure (POSCAR):
```
Cs2Tb2NpTe6
1.0
-7.378 -0.848 2.160
3.441 -5.473 -4.246
4.074 -2.083 8.385
Cs Tb Np Te
2 2 1 6
Direct
0.832 0.168 0.000
0.168 0.832 0.000
0.333 0.667 0.500
0.667 0.333 0.500
0.000 0.000 0.500
0.733 0.733 0.688
0.066 0.393 0.689
0.267 0.267 0.312
0.393 0.066 0.689
0.934 0.607 0.311
0.607 0.934 0.311
```


2.
First-principles (GGA-PBE) data for TiBH after structural relaxation, as listed in Alexandria.

* size of the total moment: 0.0 μB/f.u.
* DOS(E_F): 0.4 states/eV/f.u.
* distance to the lowest polymorph of the same formula: 107 meV/atom
* ρ: 4.21 Mg/m³
* DFT total energy: -6.487 eV/atom

Structure (POSCAR):
```
TiBH
1.0
6.252 0.000 0.000
0.000 3.100 0.000
0.000 0.000 4.856
H B Ti
4 4 4
Direct
0.025 0.250 0.871
0.475 0.750 0.371
0.975 0.750 0.129
0.525 0.250 0.629
0.975 0.250 0.576
0.525 0.750 0.076
0.025 0.750 0.424
0.475 0.250 0.924
0.314 0.250 0.359
0.186 0.750 0.859
0.686 0.750 0.641
0.814 0.250 0.141
```